First-principles (PBE) data for a geometry-optimized CdTeAs2 structure, as listed in the Open Quantum Materials Database.

Space-group type   F-43m (216)
Calculated volume   90.2 Å³/cell
E   -11.91 eV for the cell shown

```
CdTeAs2
1.0
0.000 3.559 3.559
3.559 0.000 3.559
3.559 3.559 0.000
Cd Te As
1 1 2
Direct
0.000 0.000 0.000
0.750 0.750 0.750
0.250 0.250 0.250
0.500 0.500 0.500
```